ZrMnSiPb2: single point on PBEsol structure, meta-GGA SCAN.

abc: 5.024 5.178 5.178
angles: 90.00 90.00 90.00
Element x y z (fractional)
Mn 0.500 0.500 0.500
Pb 0.000 0.000 0.500
Pb 0.000 0.500 0.000
Si 0.000 0.000 0.000
Zr 0.500 0.000 0.000

Properties
Space group: P4/mmm (123)
Raw total energy: -207.2 eV for the cell shown
D(E_F): 0.70 states/eV per atom
Total magnetization: 4.07 Bohr magnetons per cell